Entry 1:
# Ta5Co (PBE, relaxed)
data_Ta5Co
_chemical_formula_sum 'Ta5 Co1'
_space_group_name_H-M_alt 'P 6/m m m'
_space_group_IT_number 191
_space_group_name_Hall '-P 6 2'
_cell_length_a 5.4812
_cell_length_b 5.4812
_cell_length_c 4.5919
_cell_angle_alpha 90.00
_cell_angle_beta 90.00
_cell_angle_gamma 120.00
loop_
_atom_site_label
_atom_site_type_symbol
_atom_site_fract_x
_atom_site_fract_y
_atom_site_fract_z
_atom_site_occupancy
Ta1 Ta 0.0000 0.5000 0.0000 1
Ta2 Ta 0.3333 0.6667 0.5000 1
Co1 Co 0.0000 0.0000 0.5000 1
# Calculated density (kg/m³): 13394
# Energy of formation from the pure elements (meV/atom): 911
# Energy relative to the lowest polymorph listed for this composition (meV per atom): 955

Entry 2:
# PrNd2Tl3Te6 (PBE, relaxed)
data_PrNd2Tl3Te6
_chemical_formula_sum 'Pr2 Nd4 Tl6 Te12'
_space_group_name_H-M_alt 'C 1 2/m 1'
_space_group_IT_number 12
_cell_length_a 7.935
_cell_length_b 13.746
_cell_length_c 8.593
_cell_angle_alpha 90.00
_cell_angle_beta 107.92
_cell_angle_gamma 90.00
loop_
_space_group_symop_operation_xyz
'x,y,z'
'-x,-y,-z'
'-x,y,-z'
'x,-y,z'
'x+1/2,y+1/2,z'
'-x+1/2,-y+1/2,-z'
'-x+1/2,y+1/2,-z'
'x+1/2,-y+1/2,z'
loop_
_atom_site_label
_atom_site_type_symbol
_atom_site_fract_x
_atom_site_fract_y
_atom_site_fract_z
_atom_site_occupancy
Pr1 Pr 0.000 0.000 0.000 1
Nd1 Nd 0.000 0.333 0.000 1
Tl1 Tl 0.000 0.166 0.500 1
Tl2 Tl 0.000 0.500 0.500 1
Te1 Te 0.239 0.500 0.221 1
Te2 Te 0.241 0.167 0.221 1
# Calculated density (kg/m³): 6733
# Formation energy from raw total energies (eV per atom): -1.0764

Entry 3:
# La2TiCo3Ni12 (PBE, relaxed)
data_La2TiCo3Ni12
_chemical_formula_sum 'La6 Ti3 Co9 Ni36'
_space_group_name_H-M_alt 'R -3 m'
_space_group_IT_number 166
_space_group_name_Hall '-R 3 2"'
_cell_length_a 8.3215
_cell_length_b 8.3215
_cell_length_c 12.2067
_cell_angle_alpha 90.00
_cell_angle_beta 90.00
_cell_angle_gamma 120.00
loop_
_atom_site_label
_atom_site_type_symbol
_atom_site_fract_x
_atom_site_fract_y
_atom_site_fract_z
_atom_site_occupancy
La1 La 0.0000 0.0000 0.2257 1
Ti1 Ti 0.0000 0.0000 0.5000 1
Co1 Co 0.0000 0.5000 0.0000 1
Ni1 Ni 0.0195 0.5098 0.2092 1
Ni2 Ni 0.0433 0.5217 0.6043 1
# Calculated density (kg/m³): 8212
# Energy of formation from the pure elements (meV/atom): 56

Entry 4:
# Ba2Tl2P (PBE, relaxed)
data_Ba2Tl2P
_chemical_formula_sum 'Ba4 Tl4 P2'
_space_group_name_H-M_alt 'P 4/m b m'
_space_group_IT_number 127
_space_group_name_Hall '-P 4 2ab'
_cell_length_a 8.076
_cell_length_b 8.076
_cell_length_c 5.353
_cell_angle_alpha 90.00
_cell_angle_beta 90.00
_cell_angle_gamma 90.00
loop_
_atom_site_label
_atom_site_type_symbol
_atom_site_fract_x
_atom_site_fract_y
_atom_site_fract_z
_atom_site_occupancy
Ba1 Ba 0.175 0.325 0.000 1
Tl1 Tl 0.137 0.637 0.500 1
P1 P 0.000 0.000 0.500 1
# Calculated density (kg/m³): 6795
# Energy of formation from the pure elements (meV/atom): -257

Entry 5:
# Cs4Ac3HoO8 (PBE, relaxed)
data_Cs4Ac3HoO8
_chemical_formula_sum 'Cs12 Ac9 Ho3 O24'
_space_group_name_H-M_alt 'R -3 m'
_space_group_IT_number 166
_space_group_name_Hall '-R 3 2"'
_cell_length_a 7.6440
_cell_length_b 7.6440
_cell_length_c 20.9519
_cell_angle_alpha 90.00
_cell_angle_beta 90.00
_cell_angle_gamma 120.00
loop_
_atom_site_label
_atom_site_type_symbol
_atom_site_fract_x
_atom_site_fract_y
_atom_site_fract_z
_atom_site_occupancy
Cs1 Cs 0.0000 0.0000 0.0000 1
Cs2 Cs 0.0000 0.5000 0.0000 1
Ac1 Ac 0.0000 0.5000 0.5000 1
Ho1 Ho 0.0000 0.0000 0.5000 1
O1 O 0.0000 0.0000 0.2250 1
O2 O 0.0199 0.5100 0.2231 1
# Calculated density (kg/m³): 7074
# Formation energy from raw total energies (eV per atom): -2.5097

Entry 6:
# Sc2Ge4Os (PBE, relaxed)
data_Sc2Ge4Os
_chemical_formula_sum 'Sc4 Ge8 Os2'
_space_group_name_H-M_alt 'I 4/m m m'
_space_group_IT_number 139
_space_group_name_Hall '-I 4 2'
_cell_length_a 4.808
_cell_length_b 4.808
_cell_length_c 13.330
_cell_angle_alpha 90.00
_cell_angle_beta 90.00
_cell_angle_gamma 90.00
loop_
_atom_site_label
_atom_site_type_symbol
_atom_site_fract_x
_atom_site_fract_y
_atom_site_fract_z
_atom_site_occupancy
Sc1 Sc 0.000 0.000 0.114 1
Ge1 Ge 0.000 0.000 0.311 1
Ge2 Ge 0.000 0.500 0.000 1
Os1 Os 0.000 0.000 0.500 1
# Calculated density (kg/m³): 6150
# Energy of formation from the pure elements (meV/atom): 91

Entry 7:
# Sr2HgPd3 (PBE, relaxed)
data_Sr2HgPd3
_chemical_formula_sum 'Sr4 Hg2 Pd6'
_space_group_name_H-M_alt 'I m m m'
_space_group_IT_number 71
_space_group_name_Hall '-I 2 2'
_cell_length_a 4.986
_cell_length_b 5.770
_cell_length_c 10.465
_cell_angle_alpha 90.00
_cell_angle_beta 90.00
_cell_angle_gamma 90.00
loop_
_atom_site_label
_atom_site_type_symbol
_atom_site_fract_x
_atom_site_fract_y
_atom_site_fract_z
_atom_site_occupancy
Sr1 Sr 0.000 0.000 0.183 1
Hg1 Hg 0.000 0.000 0.500 1
Pd1 Pd 0.000 0.500 0.128 1
Pd2 Pd 0.000 0.500 0.500 1
# Calculated density (kg/m³): 7668
# Energy of formation from the pure elements (meV/atom): -322
# Energy relative to the lowest polymorph listed for this composition (meV per atom): 262

Entry 8:
# AlCoSe3 (PBE, relaxed)
data_AlCoSe3
_chemical_formula_sum 'Al1 Co1 Se3'
_space_group_name_H-M_alt 'P m -3 m'
_space_group_IT_number 221
_space_group_name_Hall '-P 4 2 3'
_cell_length_a 4.707
_cell_length_b 4.707
_cell_length_c 4.707
_cell_angle_alpha 90.00
_cell_angle_beta 90.00
_cell_angle_gamma 90.00
loop_
_atom_site_label
_atom_site_type_symbol
_atom_site_fract_x
_atom_site_fract_y
_atom_site_fract_z
_atom_site_occupancy
Al1 Al 0.000 0.000 0.000 1
Co1 Co 0.500 0.500 0.500 1
Se1 Se 0.000 0.500 0.500 1
# Calculated density (kg/m³): 5140
# Formation energy from raw total energies (eV per atom): 0.3190
# Energy relative to the lowest polymorph listed for this composition (meV per atom): 0

What is the formula in the second record?
PrNd2Tl3Te6

Which value of calculated density does entry 3 give?
8212 kg/m³

What did the seventh record say?
# Sr2HgPd3 (PBE, relaxed)
data_Sr2HgPd3
_chemical_formula_sum 'Sr4 Hg2 Pd6'
_space_group_name_H-M_alt 'I m m m'
_space_group_IT_number 71
_space_group_name_Hall '-I 2 2'
_cell_length_a 4.986
_cell_length_b 5.770
_cell_length_c 10.465
_cell_angle_alpha 90.00
_cell_angle_beta 90.00
_cell_angle_gamma 90.00
loop_
_atom_site_label
_atom_site_type_symbol
_atom_site_fract_x
_atom_site_fract_y
_atom_site_fract_z
_atom_site_occupancy
Sr1 Sr 0.000 0.000 0.183 1
Hg1 Hg 0.000 0.000 0.500 1
Pd1 Pd 0.000 0.500 0.128 1
Pd2 Pd 0.000 0.500 0.500 1
# Calculated density (kg/m³): 7668
# Energy of formation from the pure elements (meV/atom): -322
# Energy relative to the lowest polymorph listed for this composition (meV per atom): 262

Which value of calculated density does entry 5 give?
7074 kg/m³